# PBE-GGA LuSc2Al, relaxed
data_LuSc2Al
_chemical_formula_sum 'Lu1 Sc2 Al1'
_cell_length_a 3.299
_cell_length_b 3.299
_cell_length_c 8.556
_cell_angle_alpha 90.00
_cell_angle_beta 90.00
_cell_angle_gamma 90.00
_space_group_name_H-M_alt 'P 4/m m m'
_space_group_IT_number 123
_space_group_name_Hall '-P 4 2'
loop_
_atom_site_label
_atom_site_type_symbol
_atom_site_fract_x
_atom_site_fract_y
_atom_site_fract_z
_atom_site_occupancy
Lu1 Lu 0.000 0.000 0.000 1
Sc1 Sc 0.500 0.500 0.286 1
Al1 Al 0.000 0.000 0.500 1
# Size of the total moment, μB per formula unit: 0.0
# Crystal system: tetragonal
# Formation energy, eV per atom: -0.21
# Raw total energy, eV/atom: -5.4390
# Polymorph energy (0 for the lowest one), eV per atom: 0.015